1.
Material: Ag2MoRu
Method: DFT, PBE-GGA
State: relaxed

Properties
The calculation puts the density of states at the Fermi level at 5.161 states/eV/f.u. The formation energy from the elements comes out at 0.91 eV per atom. The value obtained for the energy above the most stable polymorph in this dataset is 0.710 eV per atom. As for the symmetry: P4/mmm, No. 123. For the density, the calculation gives 10.6 g/cm3.

```
Ag2MoRu
1.0
4.5134 0.0000 0.0000
0.0000 4.5134 0.0000
0.0000 0.0000 3.1856
Mo Ag Ru
1 2 1
direct
0.5000 0.0000 0.5000
0.5000 0.5000 0.0000
0.0000 0.0000 0.0000
0.0000 0.5000 0.5000
```



2.
Material: Ag2MoRu
Method: DFT, PBE-GGA
State: relaxed

Properties
The calculation puts the density of states at the Fermi level at 0.715 states/eV/f.u. The formation energy from the elements comes out at 0.20 eV per atom. The value obtained for the energy above the most stable polymorph in this dataset is 0.000 eV per atom. As for the symmetry: R3m, No. 160. For the density, the calculation gives 10.5 g/cm3.

```
Ag2MoRu
1.0
9.7603 0.0202 0.0119
9.3531 2.7902 0.0119
9.3531 1.3753 2.4277
Ag Ru Mo
2 1 1
direct
0.2481 0.2481 0.2481
0.0028 0.0028 0.0028
0.7553 0.7553 0.7553
0.4938 0.4938 0.4938
```